(1)
Na3Np2UN6, optimized geometry, DFT PBE-GGA; space-group type = C2/m, No. 12; formation energy (no corrections) = -0.9135 eV/atom
1.0
3.0289 -5.2465 0.0000
3.0289 5.2465 0.0000
-2.0200 0.0000 5.6557
Na Np U N
3 2 1 6
Direct
0.0000 0.0000 0.0000
0.3329 0.6671 0.0000
0.6671 0.3329 0.0000
0.1667 0.8333 0.5000
0.8333 0.1667 0.5000
0.5000 0.5000 0.5000
0.1116 0.4398 0.3193
0.2320 0.2320 0.6804
0.4398 0.1116 0.3193
0.5602 0.8884 0.6807
0.7680 0.7680 0.3196
0.8884 0.5602 0.6807


(2)
Tb12Tm7Tl, optimized geometry, DFT PBE-GGA; space-group type = R-3, No. 148
1.0
5.9879 3.4571 5.1069
-5.9879 3.4571 5.1069
0.0000 -6.9142 5.1069
Tb Tm Tl
12 7 1
Direct
0.0016 0.3579 0.8837
0.1163 0.9984 0.6421
0.2415 0.7572 0.3654
0.2428 0.6346 0.7585
0.3579 0.8837 0.0016
0.3654 0.2415 0.7572
0.6346 0.7585 0.2428
0.6421 0.1163 0.9984
0.7572 0.3654 0.2415
0.7585 0.2428 0.6346
0.8837 0.0016 0.3579
0.9984 0.6421 0.1163
0.0000 0.0000 0.0000
0.1134 0.3525 0.4371
0.3525 0.4371 0.1134
0.4371 0.1134 0.3525
0.5629 0.8866 0.6475
0.6475 0.5629 0.8866
0.8866 0.6475 0.5629
0.5000 0.5000 0.5000


(3)
SrAlCo2, optimized geometry, DFT PBE-GGA; space-group type = Amm2, No. 38
1.0
3.8233 0.0000 0.0000
0.0000 1.9191 5.5666
0.0000 -1.9191 5.5666
Sr Al Co
1 1 2
Direct
0.0000 0.0000 0.0000
0.5000 0.2710 0.2710
0.0000 0.7343 0.7343
0.5000 0.6428 0.6428


(4)
CaBeNi2S, optimized geometry, DFT PBE-GGA; space-group type = P4/mmm, No. 123; formation energy (no corrections) = -0.1061 eV/atom
1.0
4.0569 0.0000 0.0000
0.0000 4.0569 0.0000
0.0000 0.0000 4.6534
Ca Be Ni S
1 1 2 1
Direct
0.0000 0.0000 0.0000
0.5000 0.5000 0.5000
0.0000 0.5000 0.5000
0.5000 0.0000 0.5000
0.5000 0.5000 0.0000


(5)
PmNd12Hg6, optimized geometry, DFT PBE-GGA; space-group type = R-3, No. 148
1.0
5.7873 3.3413 4.9758
-5.7873 3.3413 4.9758
0.0000 -6.6826 4.9758
Pm Nd Hg
1 12 6
Direct
0.0000 0.0000 0.0000
0.0882 0.3949 0.1255
0.1255 0.0882 0.3949
0.1887 0.5778 0.4677
0.3949 0.1255 0.0882
0.4222 0.5323 0.8113
0.4677 0.1887 0.5778
0.5323 0.8113 0.4222
0.5778 0.4677 0.1887
0.6051 0.8745 0.9118
0.8113 0.4222 0.5323
0.8745 0.9118 0.6051
0.9118 0.6051 0.8745
0.1242 0.2757 0.7477
0.2523 0.8758 0.7243
0.2757 0.7477 0.1242
0.7243 0.2523 0.8758
0.7477 0.1242 0.2757
0.8758 0.7243 0.2523


(6)
SrCd2Cu, optimized geometry, DFT PBE-GGA; space-group type = I-42d, No. 122
1.0
-2.5646 2.5646 9.2952
2.5646 -2.5646 9.2952
2.5646 2.5646 -9.2952
Sr Cd Cu
2 4 2
Direct
0.0000 0.0000 0.0000
0.7500 0.2500 0.5000
0.2832 0.6250 0.1582
0.3750 0.5332 0.6582
0.4668 0.1250 0.8418
0.8750 0.7168 0.3418
0.2500 0.7500 0.5000
0.5000 0.5000 0.0000


Number 1: spin magnetization 0.42 μB per atom, calculated total energy -8.503 eV per atom. Number 2: spin magnetization 0.00 μB per atom, calculated total energy -4.281 eV per atom. Number 3: spin magnetization 0.41 μB per atom, calculated total energy -4.734 eV per atom. Number 4: spin magnetization 0.00 μB per atom, calculated total energy -4.390 eV per atom. Number 5: spin magnetization 0.00 μB per atom, calculated total energy -3.556 eV per atom. Number 6: spin magnetization 0.00 μB per atom, calculated total energy -1.849 eV per atom.